A plane-wave DFT calculation with PBE-GGA was carried out for ZrBe2Pb after structural relaxation.

Properties
DFT formation energy = 2.9 eV/f.u.
N(E_F) = 14.5 states/eV/cell
E_tot = -4.203 eV/atom
Magnetic moment = 1.58 μB/cell

Geometry as CIF:
```
data_ZrBe2Pb
_chemical_formula_sum 'Zr4 Be8 Pb4'
_space_group_name_H-M_alt 'F -4 3 m'
_space_group_IT_number 216
_space_group_name_Hall 'F -4 2 3'
_cell_length_a 6.6139
_cell_length_b 6.6139
_cell_length_c 6.6139
_cell_angle_alpha 90.00
_cell_angle_beta 90.00
_cell_angle_gamma 90.00
loop_
_atom_site_label
_atom_site_fract_x
_atom_site_fract_y
_atom_site_fract_z
Zr1 0.0000 0.0000 0.0000
Be1 0.0000 0.0000 0.5000
Be2 0.2500 0.2500 0.2500
Pb1 0.2500 0.2500 0.7500
```

=====

A plane-wave DFT calculation with PBE-GGA was carried out for AcPr2Zn after structural relaxation.

Properties
Excess energy over the best structure of this formula in the dataset = 0 meV/atom
DFT formation energy = -0.6 eV/f.u.
N(E_F) = 5.1 states/eV/cell
E_tot = -3.873 eV/atom
Magnetic moment = 0.00 μB/cell

Geometry as CIF:
```
data_AcPr2Zn
_chemical_formula_sum 'Ac1 Pr2 Zn1'
_space_group_name_H-M_alt 'P 4/m m m'
_space_group_IT_number 123
_space_group_name_Hall '-P 4 2'
_cell_length_a 3.7903
_cell_length_b 3.7903
_cell_length_c 9.0913
_cell_angle_alpha 90.00
_cell_angle_beta 90.00
_cell_angle_gamma 90.00
loop_
_atom_site_label
_atom_site_fract_x
_atom_site_fract_y
_atom_site_fract_z
Ac1 0.0000 0.0000 0.0000
Pr1 0.5000 0.5000 0.3025
Zn1 0.0000 0.0000 0.5000
```

=====

A plane-wave DFT calculation with PBE-GGA was carried out for KRePt after structural relaxation.

Properties
Excess energy over the best structure of this formula in the dataset = 2296 meV/atom
DFT formation energy = 7.6 eV/f.u.
N(E_F) = 9.5 states/eV/cell
E_tot = -4.004 eV/atom
Magnetic moment = 16.15 μB/cell

Geometry as CIF:
```
data_KRePt
_chemical_formula_sum 'K4 Re4 Pt4'
_space_group_name_H-M_alt 'F -4 3 m'
_space_group_IT_number 216
_space_group_name_Hall 'F -4 2 3'
_cell_length_a 6.6903
_cell_length_b 6.6903
_cell_length_c 6.6903
_cell_angle_alpha 90.00
_cell_angle_beta 90.00
_cell_angle_gamma 90.00
loop_
_atom_site_label
_atom_site_fract_x
_atom_site_fract_y
_atom_site_fract_z
K1 0.0000 0.0000 0.0000
Re1 0.2500 0.2500 0.2500
Pt1 0.2500 0.2500 0.7500
```

=====

A plane-wave DFT calculation with PBE-GGA was carried out for ZrSb4Mo after structural relaxation.

Properties
ΔE_f (raw) = 5.1 eV per formula unit
N(E_F) = 22.4 states/eV/cell
E_tot = -5.128 eV/atom
Magnetic moment = 9.87 μB/cell

Geometry as CIF:
```
data_ZrSb4Mo
_chemical_formula_sum 'Zr4 Sb16 Mo4'
_space_group_name_H-M_alt 'F -4 3 m'
_space_group_IT_number 216
_space_group_name_Hall 'F -4 2 3'
_cell_length_a 8.5256
_cell_length_b 8.5256
_cell_length_c 8.5256
_cell_angle_alpha 90.00
_cell_angle_beta 90.00
_cell_angle_gamma 90.00
loop_
_atom_site_label
_atom_site_fract_x
_atom_site_fract_y
_atom_site_fract_z
Zr1 0.0000 0.0000 0.0000
Sb1 0.1251 0.1251 0.3749
Mo1 0.2500 0.2500 0.7500
```

=====

A plane-wave DFT calculation with PBE-GGA was carried out for Nd2TmSn2Rh5 after structural relaxation.

Properties
DFT formation energy = -6.3 eV/f.u.
N(E_F) = 11.7 states/eV/cell
E_tot = -6.503 eV/atom
Magnetic moment = 0.00 μB/cell

Geometry as CIF:
```
data_Nd2TmSn2Rh5
_chemical_formula_sum 'Nd4 Tm2 Sn4 Rh10'
_space_group_name_H-M_alt 'P 4/m b m'
_space_group_IT_number 127
_space_group_name_Hall '-P 4 2ab'
_cell_length_a 10.3844
_cell_length_b 10.3844
_cell_length_c 3.8053
_cell_angle_alpha 90.00
_cell_angle_beta 90.00
_cell_angle_gamma 90.00
loop_
_atom_site_label
_atom_site_fract_x
_atom_site_fract_y
_atom_site_fract_z
Nd1 0.1721 0.3279 0.0000
Tm1 0.0000 0.0000 0.0000
Sn1 0.1257 0.6257 0.0000
Rh1 0.0000 0.5000 0.5000
Rh2 0.0638 0.7934 0.5000
```

=====

A plane-wave DFT calculation with PBE-GGA was carried out for SnB3P after structural relaxation.

Properties
Excess energy over the best structure of this formula in the dataset = 1044 meV/atom
DFT formation energy = 11.9 eV/f.u.
N(E_F) = 1.6 states/eV/cell
E_tot = -3.509 eV/atom
Magnetic moment = 0.00 μB/cell

Geometry as CIF:
```
data_SnB3P
_chemical_formula_sum 'Sn1 B3 P1'
_space_group_name_H-M_alt 'P m -3 m'
_space_group_IT_number 221
_space_group_name_Hall '-P 4 2 3'
_cell_length_a 4.4604
_cell_length_b 4.4604
_cell_length_c 4.4604
_cell_angle_alpha 90.00
_cell_angle_beta 90.00
_cell_angle_gamma 90.00
loop_
_atom_site_label
_atom_site_fract_x
_atom_site_fract_y
_atom_site_fract_z
Sn1 0.0000 0.0000 0.0000
B1 0.0000 0.0000 0.5000
P1 0.5000 0.5000 0.5000
```

=====

A plane-wave DFT calculation with PBE-GGA was carried out for Cd2NiBr after structural relaxation.

Properties
Excess energy over the best structure of this formula in the dataset = 202 meV/atom
ΔE_f (raw) = 0.7 eV per formula unit
N(E_F) = 3.9 states/eV/cell
E_tot = -2.143 eV/atom
Magnetic moment = 0.12 μB/cell

Geometry as CIF:
```
data_Cd2NiBr
_chemical_formula_sum 'Cd2 Ni1 Br1'
_space_group_name_H-M_alt 'P 4 m m'
_space_group_IT_number 99
_space_group_name_Hall 'P 4 -2'
_cell_length_a 3.2035
_cell_length_b 3.2035
_cell_length_c 8.2118
_cell_angle_alpha 90.00
_cell_angle_beta 90.00
_cell_angle_gamma 90.00
loop_
_atom_site_label
_atom_site_fract_x
_atom_site_fract_y
_atom_site_fract_z
Cd1 0.0000 0.0000 0.0000
Cd2 0.5000 0.5000 0.2756
Ni1 0.0000 0.0000 0.4711
Br1 0.5000 0.5000 0.6542
```

=====

A plane-wave DFT calculation with PBE-GGA was carried out for Sr2MnGaAu6 after structural relaxation.

Properties
DFT formation energy = -4.1 eV/f.u.
N(E_F) = 8.3 states/eV/cell
E_tot = -3.932 eV/atom
Magnetic moment = 8.23 μB/cell

Geometry as CIF:
```
data_Sr2MnGaAu6
_chemical_formula_sum 'Sr4 Mn2 Ga2 Au12'
_space_group_name_H-M_alt 'C 1 2/m 1'
_space_group_IT_number 12
_space_group_name_Hall '-C 2y'
_cell_length_a 12.8413
_cell_length_b 5.7417
_cell_length_c 8.8327
_cell_angle_alpha 90.00
_cell_angle_beta 132.38
_cell_angle_gamma 90.00
loop_
_atom_site_label
_atom_site_fract_x
_atom_site_fract_y
_atom_site_fract_z
Sr1 0.2467 0.0000 0.2043
Mn1 0.0000 0.5000 0.0000
Ga1 0.0000 0.0000 0.5000
Au1 0.0037 0.2509 0.2552
Au2 0.2493 0.5000 0.3803
```

=====

A plane-wave DFT calculation with PBE-GGA was carried out for AgRhAu2 after structural relaxation.

Properties
Excess energy over the best structure of this formula in the dataset = 64 meV/atom
DFT formation energy = 0.6 eV/f.u.
N(E_F) = 8.4 states/eV/cell
E_tot = -4.044 eV/atom
Magnetic moment = 0.00 μB/cell

Geometry as CIF:
```
data_AgRhAu2
_chemical_formula_sum 'Ag2 Rh2 Au4'
_space_group_name_H-M_alt 'I -4 m 2'
_space_group_IT_number 119
_space_group_name_Hall 'I -4 -2'
_cell_length_a 4.0795
_cell_length_b 4.0795
_cell_length_c 8.1555
_cell_angle_alpha 90.00
_cell_angle_beta 90.00
_cell_angle_gamma 90.00
loop_
_atom_site_label
_atom_site_fract_x
_atom_site_fract_y
_atom_site_fract_z
Ag1 0.0000 0.0000 0.0000
Rh1 0.0000 0.5000 0.2500
Au1 0.0000 0.0000 0.5000
Au2 0.0000 0.5000 0.7500
```

=====

A plane-wave DFT calculation with PBE-GGA was carried out for NaTiHS2 after structural relaxation.

Properties
N(E_F) = 0.0 states/eV/cell
E_tot = -5.123 eV/atom
Magnetic moment = 0.00 μB/cell

Geometry as CIF:
```
data_NaTiHS2
_chemical_formula_sum 'Na2 Ti2 H2 S4'
_space_group_name_H-M_alt 'P 1 21/m 1'
_space_group_IT_number 11
_space_group_name_Hall '-P 2yb'
_cell_length_a 6.5601
_cell_length_b 3.4775
_cell_length_c 8.0167
_cell_angle_alpha 90.00
_cell_angle_beta 107.82
_cell_angle_gamma 90.00
loop_
_atom_site_label
_atom_site_fract_x
_atom_site_fract_y
_atom_site_fract_z
Na1 0.1648 0.2500 0.2995
Ti1 0.3421 0.2500 0.8204
H1 0.0574 0.2500 0.7602
S1 0.2788 0.7500 0.0203
S2 0.3290 0.7500 0.6167
```

=====

A plane-wave DFT calculation with PBE-GGA was carried out for AlBi3Pt after structural relaxation.

Properties
Excess energy over the best structure of this formula in the dataset = 0 meV/atom
DFT formation energy = 2.5 eV/f.u.
N(E_F) = 5.1 states/eV/cell
E_tot = -3.779 eV/atom
Magnetic moment = 0.00 μB/cell

Geometry as CIF:
```
data_AlBi3Pt
_chemical_formula_sum 'Al1 Bi3 Pt1'
_space_group_name_H-M_alt 'P m -3 m'
_space_group_IT_number 221
_space_group_name_Hall '-P 4 2 3'
_cell_length_a 5.4696
_cell_length_b 5.4696
_cell_length_c 5.4696
_cell_angle_alpha 90.00
_cell_angle_beta 90.00
_cell_angle_gamma 90.00
loop_
_atom_site_label
_atom_site_fract_x
_atom_site_fract_y
_atom_site_fract_z
Al1 0.0000 0.0000 0.0000
Bi1 0.0000 0.5000 0.5000
Pt1 0.5000 0.5000 0.5000
```

=====

A plane-wave DFT calculation with PBE-GGA was carried out for CsLi2CdHg after structural relaxation.

Properties
DFT formation energy = -0.1 eV/f.u.
N(E_F) = 3.2 states/eV/cell
E_tot = -1.193 eV/atom
Magnetic moment = 0.00 μB/cell

Geometry as CIF:
```
data_CsLi2CdHg
_chemical_formula_sum 'Cs1 Li2 Cd1 Hg1'
_space_group_name_H-M_alt 'P 4/m m m'
_space_group_IT_number 123
_space_group_name_Hall '-P 4 2'
_cell_length_a 5.5516
_cell_length_b 5.5516
_cell_length_c 5.4911
_cell_angle_alpha 90.00
_cell_angle_beta 90.00
_cell_angle_gamma 90.00
loop_
_atom_site_label
_atom_site_fract_x
_atom_site_fract_y
_atom_site_fract_z
Cs1 0.0000 0.0000 0.0000
Li1 0.0000 0.5000 0.5000
Cd1 0.5000 0.5000 0.0000
Hg1 0.5000 0.5000 0.5000
```